Entry from Alexandria via LeMat-Bulk: a relaxed PuMgGeO6 crystal (GGA-PBE).

Unit cell a=5.206 b=5.206 c=9.134 alpha=90.00 beta=90.00 gamma=120.00
Atoms (fractional coordinates):
Pu 0.333 0.667 0.250
Pu 0.667 0.333 0.750
Mg 0.000 0.000 0.000
Mg 0.000 0.000 0.500
Ge 0.333 0.667 0.750
Ge 0.667 0.333 0.250
O 0.022 0.357 0.634
O 0.022 0.665 0.866
O 0.335 0.357 0.866
O 0.335 0.978 0.634
O 0.357 0.022 0.134
O 0.357 0.335 0.366
O 0.643 0.665 0.634
O 0.643 0.978 0.866
O 0.665 0.022 0.366
O 0.665 0.643 0.134
O 0.978 0.335 0.134
O 0.978 0.643 0.366

## Properties
- calculated volume (Å³ per cell) = 214
- E (eV/f.u.) = -69.5
- E_form (uncorrected) (eV per formula unit) = -19.18
- M_tot (μB per formula unit) = 2.00